No. 1
# BeTl2Ru (PBE, relaxed)
# **Energy of formation from the pure elements**: 0.742 eV per atom
# **Electronic total energy**: -14.77 eV for the cell shown
# **Density of states at the Fermi level**: 0.88 states/eV/atom
# **Energy relative to the lowest polymorph listed for this composition**: 1.99 eV per formula unit
data_BeTl2Ru
_chemical_formula_sum 'Be1 Tl2 Ru1'
_symmetry_space_group_name_H-M 'P 1'
_symmetry_Int_Tables_number 1
_symmetry_space_group_name_Hall 'P 1'
_cell_length_a 3.279
_cell_length_b 4.703
_cell_length_c 4.703
_cell_angle_alpha 90.00
_cell_angle_beta 90.00
_cell_angle_gamma 90.00
loop_
_atom_site_label
_atom_site_type_symbol
_atom_site_fract_x
_atom_site_fract_y
_atom_site_fract_z
Tl1 Tl 0.000 0.500 0.500
Tl2 Tl 0.000 0.000 0.000
Be1 Be 0.500 0.500 0.000
Ru1 Ru 0.500 0.000 0.500

---

No. 2
# BeTl2Ru (PBE, relaxed)
# **Energy of formation from the pure elements**: 0.438 eV per atom
# **Electronic total energy**: -15.98 eV for the cell shown
# **Density of states at the Fermi level**: 0.39 states/eV/atom
# **Energy relative to the lowest polymorph listed for this composition**: 0.77 eV per formula unit
data_BeTl2Ru
_chemical_formula_sum 'Be1 Tl2 Ru1'
_symmetry_space_group_name_H-M 'P 1'
_symmetry_Int_Tables_number 1
_symmetry_space_group_name_Hall 'P 1'
_cell_length_a 6.242
_cell_length_b 6.242
_cell_length_c 4.558
_cell_angle_alpha 68.68
_cell_angle_beta 68.68
_cell_angle_gamma 29.29
loop_
_atom_site_label
_atom_site_type_symbol
_atom_site_fract_x
_atom_site_fract_y
_atom_site_fract_z
Ru1 Ru 0.215 0.215 0.285
Tl1 Tl 0.743 0.743 0.757
Tl2 Tl 0.967 0.967 0.032
Be1 Be 0.575 0.575 0.425

---

No. 3
# BeTl2Ru (PBE, relaxed)
# **Energy of formation from the pure elements**: 0.361 eV per atom
# **Electronic total energy**: -16.29 eV for the cell shown
# **Density of states at the Fermi level**: 0.37 states/eV/atom
# **Energy relative to the lowest polymorph listed for this composition**: 0.46 eV per formula unit
data_BeTl2Ru
_chemical_formula_sum 'Be1 Tl2 Ru1'
_symmetry_space_group_name_H-M 'P 1'
_symmetry_Int_Tables_number 1
_symmetry_space_group_name_Hall 'P 1'
_cell_length_a 3.783
_cell_length_b 3.983
_cell_length_c 5.397
_cell_angle_alpha 68.44
_cell_angle_beta 90.00
_cell_angle_gamma 90.00
loop_
_atom_site_label
_atom_site_type_symbol
_atom_site_fract_x
_atom_site_fract_y
_atom_site_fract_z
Tl1 Tl 0.500 0.274 0.326
Tl2 Tl 0.000 0.981 0.914
Be1 Be 0.000 0.681 0.513
Ru1 Ru 0.500 0.564 0.748